Record 1
Density functional theory data (PBE) for a relaxed SrMnV2Cl crystal.

Cell and atoms, written as CIF:
```
data_SrMnV2Cl
_symmetry_space_group_name_H-M 'P 4/m m m'
_symmetry_Int_Tables_number 123
_symmetry_space_group_name_Hall '-P 4 2'
_cell_length_a 5.712
_cell_length_b 5.712
_cell_length_c 5.837
_cell_angle_alpha 90.00
_cell_angle_beta 90.00
_cell_angle_gamma 90.00
loop_
_atom_site_label
_atom_site_type_symbol
_atom_site_fract_x
_atom_site_fract_y
_atom_site_fract_z
Sr1 Sr 0.000 0.000 0.000
Mn1 Mn 0.000 0.000 0.500
V1 V 0.000 0.500 0.000
Cl1 Cl 0.500 0.500 0.500
```



Record 2
# TaMnCl PBE optimized geometry
data_TaMnCl
_symmetry_space_group_name_H-M 'P 3 m 1'
_symmetry_Int_Tables_number 156
_cell_length_a 3.1750
_cell_length_b 3.1750
_cell_length_c 6.0668
_cell_angle_alpha 90.00
_cell_angle_beta 90.00
_cell_angle_gamma 120.00
loop_
_symmetry_equiv_pos_as_xyz
'x,y,z'
'-y,x-y,z'
'-x+y,-x,z'
'-y,-x,z'
'-x+y,y,z'
'x,x-y,z'
loop_
_atom_site_label
_atom_site_type_symbol
_atom_site_fract_x
_atom_site_fract_y
_atom_site_fract_z
Ta1 Ta 0.0000 0.0000 0.0000
Mn1 Mn 0.3333 0.6667 0.7450
Cl1 Cl 0.6667 0.3333 0.3264
# energy above the most stable polymorph in this dataset	0.0	meV per atom



Record 3
# TaMnCl2 PBE optimized geometry
data_TaMnCl2
_symmetry_space_group_name_H-M 'P 4/m m m'
_symmetry_Int_Tables_number 123
_symmetry_space_group_name_Hall '-P 4 2'
_cell_length_a 3.007
_cell_length_b 3.007
_cell_length_c 9.884
_cell_angle_alpha 90.00
_cell_angle_beta 90.00
_cell_angle_gamma 90.00
loop_
_atom_site_label
_atom_site_type_symbol
_atom_site_fract_x
_atom_site_fract_y
_atom_site_fract_z
Ta1 Ta 0.000 0.000 0.000
Mn1 Mn 0.000 0.000 0.500
Cl1 Cl 0.500 0.500 0.157
# energy above the most stable polymorph in this dataset	884.7	meV per atom



Record 4
# TaMn2Cl2 PBE optimized geometry
data_TaMn2Cl2
_symmetry_space_group_name_H-M 'I 4/m m m'
_symmetry_Int_Tables_number 139
_symmetry_space_group_name_Hall '-I 4 2'
_cell_length_a 3.935
_cell_length_b 3.935
_cell_length_c 11.720
_cell_angle_alpha 90.00
_cell_angle_beta 90.00
_cell_angle_gamma 90.00
loop_
_atom_site_label
_atom_site_type_symbol
_atom_site_fract_x
_atom_site_fract_y
_atom_site_fract_z
Ta1 Ta 0.000 0.000 0.000
Mn1 Mn 0.000 0.000 0.388
Cl1 Cl 0.000 0.500 0.250
# energy above the most stable polymorph in this dataset	0.0	meV per atom



Record 5
Density functional theory data (PBE) for a relaxed Ta2MnCl8 crystal.

Cell and atoms, written as CIF:
```
data_Ta2MnCl8
_symmetry_space_group_name_H-M 'C 1 2/m 1'
_symmetry_Int_Tables_number 12
_cell_length_a 11.511
_cell_length_b 10.737
_cell_length_c 6.033
_cell_angle_alpha 90.00
_cell_angle_beta 93.05
_cell_angle_gamma 90.00
loop_
_symmetry_equiv_pos_as_xyz
'x,y,z'
'-x,-y,-z'
'-x,y,-z'
'x,-y,z'
'x+1/2,y+1/2,z'
'-x+1/2,-y+1/2,-z'
'-x+1/2,y+1/2,-z'
'x+1/2,-y+1/2,z'
loop_
_atom_site_label
_atom_site_type_symbol
_atom_site_fract_x
_atom_site_fract_y
_atom_site_fract_z
Ta1 Ta 0.170 0.000 0.317
Mn1 Mn 0.000 0.000 0.000
Cl1 Cl 0.117 0.206 0.263
Cl2 Cl 0.142 0.000 0.707
Cl3 Cl 0.152 0.500 0.829
```



Record 6
Density functional theory data (PBE) for a relaxed TaMnCl6 crystal.

Cell and atoms, written as CIF:
```
data_TaMnCl6
_symmetry_space_group_name_H-M 'R -3'
_symmetry_Int_Tables_number 148
_symmetry_space_group_name_Hall '-R 3'
_cell_length_a 6.3154
_cell_length_b 6.3154
_cell_length_c 16.9942
_cell_angle_alpha 90.00
_cell_angle_beta 90.00
_cell_angle_gamma 120.00
loop_
_atom_site_label
_atom_site_type_symbol
_atom_site_fract_x
_atom_site_fract_y
_atom_site_fract_z
Ta1 Ta 0.0000 0.0000 0.0000
Mn1 Mn 0.0000 0.0000 0.5000
Cl1 Cl 0.0121 0.6485 0.7483
```



Record 7
# TaMnCl2 PBE optimized geometry
data_TaMnCl2
_symmetry_space_group_name_H-M 'C 1 2/m 1'
_symmetry_Int_Tables_number 12
_cell_length_a 5.830
_cell_length_b 8.477
_cell_length_c 3.079
_cell_angle_alpha 90.00
_cell_angle_beta 112.57
_cell_angle_gamma 90.00
loop_
_symmetry_equiv_pos_as_xyz
'x,y,z'
'-x,-y,-z'
'-x,y,-z'
'x,-y,z'
'x+1/2,y+1/2,z'
'-x+1/2,-y+1/2,-z'
'-x+1/2,y+1/2,-z'
'x+1/2,-y+1/2,z'
loop_
_atom_site_label
_atom_site_type_symbol
_atom_site_fract_x
_atom_site_fract_y
_atom_site_fract_z
Ta1 Ta 0.000 0.000 0.000
Mn1 Mn 0.000 0.500 0.000
Cl1 Cl 0.250 0.250 0.000
# energy above the most stable polymorph in this dataset	752.7	meV per atom



Record 8
# TaMnCl2 PBE optimized geometry
data_TaMnCl2
_symmetry_space_group_name_H-M 'I 4/m m m'
_symmetry_Int_Tables_number 139
_symmetry_space_group_name_Hall '-I 4 2'
_cell_length_a 4.123
_cell_length_b 4.123
_cell_length_c 7.648
_cell_angle_alpha 90.00
_cell_angle_beta 90.00
_cell_angle_gamma 90.00
loop_
_atom_site_label
_atom_site_type_symbol
_atom_site_fract_x
_atom_site_fract_y
_atom_site_fract_z
Ta1 Ta 0.000 0.000 0.000
Mn1 Mn 0.000 0.000 0.500
Cl1 Cl 0.000 0.500 0.250
# energy above the most stable polymorph in this dataset	1071.3	meV per atom



Record 9
# TaMnCl PBE optimized geometry
data_TaMnCl
_symmetry_space_group_name_H-M 'F -4 3 m'
_symmetry_Int_Tables_number 216
_symmetry_space_group_name_Hall 'F -4 2 3'
_cell_length_a 5.803
_cell_length_b 5.803
_cell_length_c 5.803
_cell_angle_alpha 90.00
_cell_angle_beta 90.00
_cell_angle_gamma 90.00
loop_
_atom_site_label
_atom_site_type_symbol
_atom_site_fract_x
_atom_site_fract_y
_atom_site_fract_z
Ta1 Ta 0.000 0.000 0.000
Mn1 Mn 0.250 0.250 0.750
Cl1 Cl 0.000 0.000 0.500
# energy above the most stable polymorph in this dataset	811.0	meV per atom



Record 10
# TaMnCl2 PBE optimized geometry
data_TaMnCl2
_symmetry_space_group_name_H-M 'I m m m'
_symmetry_Int_Tables_number 71
_symmetry_space_group_name_Hall '-I 2 2'
_cell_length_a 3.089
_cell_length_b 4.467
_cell_length_c 14.265
_cell_angle_alpha 90.00
_cell_angle_beta 90.00
_cell_angle_gamma 90.00
loop_
_atom_site_label
_atom_site_type_symbol
_atom_site_fract_x
_atom_site_fract_y
_atom_site_fract_z
Ta1 Ta 0.000 0.000 0.000
Mn1 Mn 0.000 0.000 0.500
Cl1 Cl 0.000 0.500 0.360
# energy above the most stable polymorph in this dataset	355.5	meV per atom



Record 11
# TaMnCl2 PBE optimized geometry
data_TaMnCl2
_symmetry_space_group_name_H-M 'F m -3 m'
_symmetry_Int_Tables_number 225
_symmetry_space_group_name_Hall '-F 4 2 3'
_cell_length_a 6.066
_cell_length_b 6.066
_cell_length_c 6.066
_cell_angle_alpha 90.00
_cell_angle_beta 90.00
_cell_angle_gamma 90.00
loop_
_atom_site_label
_atom_site_type_symbol
_atom_site_fract_x
_atom_site_fract_y
_atom_site_fract_z
Ta1 Ta 0.000 0.000 0.000
Mn1 Mn 0.000 0.000 0.500
Cl1 Cl 0.250 0.250 0.250
# energy above the most stable polymorph in this dataset	1369.9	meV per atom



Record 12
# TaMnCl2 PBE optimized geometry
data_TaMnCl2
_symmetry_space_group_name_H-M 'C 1 m 1'
_symmetry_Int_Tables_number 8
_cell_length_a 5.540
_cell_length_b 3.197
_cell_length_c 9.293
_cell_angle_alpha 90.00
_cell_angle_beta 103.07
_cell_angle_gamma 90.00
loop_
_symmetry_equiv_pos_as_xyz
'x,y,z'
'x,-y,z'
'x+1/2,y+1/2,z'
'x+1/2,-y+1/2,z'
loop_
_atom_site_label
_atom_site_type_symbol
_atom_site_fract_x
_atom_site_fract_y
_atom_site_fract_z
Ta1 Ta 0.000 0.000 0.000
Mn1 Mn 0.077 0.500 0.764
Cl1 Cl 0.176 0.000 0.586
Cl2 Cl 0.239 0.500 0.190
# energy above the most stable polymorph in this dataset	0.0	meV per atom



Record 13
# TaMnCl2 PBE optimized geometry
data_TaMnCl2
_symmetry_space_group_name_H-M 'R -3 m'
_symmetry_Int_Tables_number 166
_symmetry_space_group_name_Hall '-R 3 2"'
_cell_length_a 3.0974
_cell_length_b 3.0974
_cell_length_c 30.5456
_cell_angle_alpha 90.00
_cell_angle_beta 90.00
_cell_angle_gamma 120.00
loop_
_atom_site_label
_atom_site_type_symbol
_atom_site_fract_x
_atom_site_fract_y
_atom_site_fract_z
Ta1 Ta 0.0000 0.0000 0.0000
Mn1 Mn 0.0000 0.0000 0.5000
Cl1 Cl 0.0000 0.0000 0.2737
# energy above the most stable polymorph in this dataset	502.7	meV per atom



Record 14
# TaMnCl2 PBE optimized geometry
data_TaMnCl2
_symmetry_space_group_name_H-M 'P 1 2/m 1'
_symmetry_Int_Tables_number 10
_cell_length_a 3.079
_cell_length_b 4.334
_cell_length_c 5.435
_cell_angle_alpha 90.00
_cell_angle_beta 95.07
_cell_angle_gamma 90.00
loop_
_symmetry_equiv_pos_as_xyz
'x,y,z'
'-x,-y,-z'
'-x,y,-z'
'x,-y,z'
loop_
_atom_site_label
_atom_site_type_symbol
_atom_site_fract_x
_atom_site_fract_y
_atom_site_fract_z
Ta1 Ta 0.000 0.000 0.000
Mn1 Mn 0.500 0.000 0.500
Cl1 Cl 0.179 0.500 0.242
# energy above the most stable polymorph in this dataset	678.1	meV per atom



Record 15
# TaMnCl2 PBE optimized geometry
data_TaMnCl2
_symmetry_space_group_name_H-M 'P 4/m m m'
_symmetry_Int_Tables_number 123
_symmetry_space_group_name_Hall '-P 4 2'
_cell_length_a 3.255
_cell_length_b 3.255
_cell_length_c 6.021
_cell_angle_alpha 90.00
_cell_angle_beta 90.00
_cell_angle_gamma 90.00
loop_
_atom_site_label
_atom_site_type_symbol
_atom_site_fract_x
_atom_site_fract_y
_atom_site_fract_z
Ta1 Ta 0.000 0.000 0.000
Mn1 Mn 0.000 0.000 0.500
Cl1 Cl 0.500 0.500 0.241
# energy above the most stable polymorph in this dataset	1090.9	meV per atom



| no. | uncorrected formation energy (eV/atom) | magnetic moment (μB/f.u.) |
| --- | --- | --- |
| 1 | 2.1019 | 4.68 |
| 2 | 0.0487 | 0.00 |
| 3 | 0.3026 | 4.54 |
| 4 | 0.4619 | 5.00 |
| 5 | -0.8945 | 3.18 |
| 6 | -1.1164 | 4.00 |
| 7 | 0.1706 | 3.59 |
| 8 | 0.4893 | 3.34 |
| 9 | 0.8598 | 0.00 |
| 10 | -0.2265 | 3.25 |
| 11 | 0.7878 | 0.00 |
| 12 | -0.5821 | 4.01 |
| 13 | -0.0793 | 4.65 |
| 14 | 0.0960 | 4.33 |
| 15 | 0.5088 | 3.00 |